No. 1
A plane-wave DFT calculation with GGA-PBE was carried out for a relaxed structure of TaInRe.

abc: 6.3502 6.3502 6.3502
angles: 90.00 90.00 90.00
Space group F-43m (No. 216)
Asymmetric unit:
Ta (0.0000, 0.0000, 0.0000) [4 per cell]
In (0.2500, 0.2500, 0.7500) [4 per cell]
Re (0.2500, 0.2500, 0.2500) [4 per cell]

Results
**Energy above the lowest structure with this stoichiometry**: 697.5 meV per atom
**VASP energy**: -97.82 eV for the cell shown

---

No. 2
A plane-wave DFT calculation with GGA-PBE was carried out for a relaxed structure of TaInRe.

abc: 3.2180 4.9030 13.9647
angles: 90.00 90.00 90.00
Space group Fmm2 (No. 42)
Asymmetric unit:
Ta (0.0000, 0.0000, 0.0000) [4 per cell]
In (0.0000, 0.0000, 0.6811) [4 per cell]
Re (0.0000, 0.0000, 0.3535) [4 per cell]

Results
**Energy above the lowest structure with this stoichiometry**: 97.1 meV per atom
**VASP energy**: -105.02 eV for the cell shown

---

No. 3
A plane-wave DFT calculation with GGA-PBE was carried out for a relaxed structure of TaIn2Re.

abc: 2.9409 4.4588 5.7149
angles: 90.00 90.00 90.00
Space group Pmmm (No. 47)
Asymmetric unit:
Ta (0.0000, 0.0000, 0.0000) [1 per cell]
In (0.5000, 0.5000, 0.2547) [2 per cell]
Re (0.0000, 0.0000, 0.5000) [1 per cell]

Results
**Energy above the lowest structure with this stoichiometry**: 359.2 meV per atom
**VASP energy**: -27.53 eV for the cell shown

---

No. 4
A plane-wave DFT calculation with GGA-PBE was carried out for a relaxed structure of TaIn2Re.

abc: 3.2761 4.8137 9.5323
angles: 90.00 90.00 90.00
Space group Immm (No. 71)
Asymmetric unit:
Ta (0.0000, 0.0000, 0.0000) [2 per cell]
In (0.0000, 0.5000, 0.2406) [4 per cell]
Re (0.0000, 0.0000, 0.5000) [2 per cell]

Results
**Energy above the lowest structure with this stoichiometry**: 236.2 meV per atom
**VASP energy**: -56.04 eV for the cell shown

---

No. 5
A plane-wave DFT calculation with GGA-PBE was carried out for a relaxed structure of TaIn2Re.

abc: 7.6768 7.6768 5.6157
angles: 90.00 90.00 90.00
Space group I-42d (No. 122)
Asymmetric unit:
Ta (0.0000, 0.0000, 0.0000) [4 per cell]
In (0.2359, 0.7500, 0.6250) [8 per cell]
Re (0.0000, 0.0000, 0.5000) [4 per cell]

Results
**Energy above the lowest structure with this stoichiometry**: 779.6 meV per atom
**VASP energy**: -103.38 eV for the cell shown

---

No. 6
A plane-wave DFT calculation with GGA-PBE was carried out for a relaxed structure of TaInRe3.

abc: 4.8017 4.8017 4.8017
angles: 90.00 90.00 90.00
Space group Pm-3m (No. 221)
Asymmetric unit:
Ta (0.0000, 0.0000, 0.0000) [1 per cell]
In (0.5000, 0.5000, 0.5000) [1 per cell]
Re (0.0000, 0.0000, 0.5000) [3 per cell]

Results
**Energy above the lowest structure with this stoichiometry**: 0.0 meV per atom
**VASP energy**: -41.15 eV for the cell shown

---

No. 7
A plane-wave DFT calculation with GGA-PBE was carried out for a relaxed structure of TaIn2Re.

abc: 9.8227 3.3124 4.7682
angles: 90.00 104.33 90.00
Space group C2/m (No. 12)
Asymmetric unit:
Ta (0.0000, 0.0000, 0.0000) [2 per cell]
In (0.2429, 0.0000, 0.7415) [4 per cell]
Re (0.0000, 0.5000, 0.5000) [2 per cell]

Results
**Energy above the lowest structure with this stoichiometry**: 219.7 meV per atom
**VASP energy**: -56.17 eV for the cell shown

---

No. 8
A plane-wave DFT calculation with GGA-PBE was carried out for a relaxed structure of TaIn2Re.

abc: 6.6515 6.6515 6.6515
angles: 90.00 90.00 90.00
Space group Fm-3m (No. 225)
Asymmetric unit:
Ta (0.0000, 0.0000, 0.0000) [4 per cell]
In (0.2500, 0.2500, 0.2500) [8 per cell]
Re (0.0000, 0.0000, 0.5000) [4 per cell]

Results
**Energy above the lowest structure with this stoichiometry**: 443.7 meV per atom
**VASP energy**: -108.76 eV for the cell shown

---

No. 9
A plane-wave DFT calculation with GGA-PBE was carried out for a relaxed structure of TaIn2Re.

abc: 2.9420 2.9420 8.6946
angles: 90.00 90.00 90.00
Space group P4/mmm (No. 123)
Asymmetric unit:
Ta (0.0000, 0.0000, 0.0000) [1 per cell]
In (0.5000, 0.5000, 0.2613) [2 per cell]
Re (0.0000, 0.0000, 0.5000) [1 per cell]

Results
**Energy above the lowest structure with this stoichiometry**: 382.7 meV per atom
**VASP energy**: -27.43 eV for the cell shown

---

No. 10
A plane-wave DFT calculation with GGA-PBE was carried out for a relaxed structure of TaInRe4.

abc: 7.4119 7.4119 7.4119
angles: 90.00 90.00 90.00
Space group F-43m (No. 216)
Asymmetric unit:
Ta (0.0000, 0.0000, 0.0000) [4 per cell]
In (0.2500, 0.2500, 0.7500) [4 per cell]
Re (0.1245, 0.1245, 0.3755) [16 per cell]

Results
**VASP energy**: -252.44 eV for the cell shown

---

No. 11
A plane-wave DFT calculation with GGA-PBE was carried out for a relaxed structure of TaInRe.

abc: 3.3521 3.3521 9.6531
angles: 90.00 90.00 90.00
Space group I4mm (No. 107)
Asymmetric unit:
Ta (0.0000, 0.0000, 0.0000) [2 per cell]
In (0.0000, 0.0000, 0.3124) [2 per cell]
Re (0.0000, 0.0000, 0.6331) [2 per cell]

Results
**Energy above the lowest structure with this stoichiometry**: 0.0 meV per atom
**VASP energy**: -53.10 eV for the cell shown

---

No. 12
A plane-wave DFT calculation with GGA-PBE was carried out for a relaxed structure of TaInRe.

abc: 3.1431 3.1431 6.7368
angles: 90.00 90.00 120.00
Space group P3m1 (No. 156)
Asymmetric unit:
Ta (0.0000, 0.0000, 0.0000) [1 per cell]
In (0.3333, 0.6667, 0.3753) [1 per cell]
Re (0.6667, 0.3333, 0.7298) [1 per cell]

Results
**Energy above the lowest structure with this stoichiometry**: 136.3 meV per atom
**VASP energy**: -26.14 eV for the cell shown

---

ΔE_f values, unit eV/atom, following the record order: 0.861 0.261 0.563 0.440 0.983 2.158 0.423 0.647 0.586 0.212 0.164 0.300.